! Pm2NdHg, relaxed, DFT GGA-PBE; values from VASP
! Total magnetic moment ... 0.00 μB/cell
! Distance to the lowest polymorph of the same formula ... 0 meV/atom
! Energy ... -3.87 eV per atom
! N(E_F) ... 5.02 states/eV per cell
! Space group ... No. 123
! DFT formation energy ... -0.232 eV/atom
&SYSTEM
  ibrav = 0, nat = 4, ntyp = 3
/
ATOMIC_SPECIES
Nd 144.24 Nd.upf
Hg 200.59 Hg.upf
Pm 145.00 Pm.upf
ATOMIC_POSITIONS crystal
Nd 0.500 0.500 0.500
Hg 0.500 0.500 0.000
Pm 0.000 0.000 0.780
Pm 0.000 0.000 0.220
CELL_PARAMETERS angstrom
3.733 0.000 0.000
0.000 3.733 0.000
0.000 0.000 8.980

---

! Pm12Nd5Hg2, relaxed, DFT GGA-PBE; values from VASP
! Total magnetic moment ... 0.00 μB/cell
! Energy ... -4.29 eV per atom
! N(E_F) ... 28.15 states/eV per cell
! Space group ... No. 12
! DFT formation energy ... -0.001 eV/atom
&SYSTEM
  ibrav = 0, nat = 19, ntyp = 3
/
ATOMIC_SPECIES
Pm 145.00 Pm.upf
Nd 144.24 Nd.upf
Hg 200.59 Hg.upf
ATOMIC_POSITIONS crystal
Pm 0.921 0.842 0.117
Pm 0.036 0.706 0.764
Pm 0.670 0.706 0.764
Pm 0.184 0.753 0.338
Pm 0.569 0.753 0.338
Pm 0.445 0.891 0.688
Pm 0.555 0.109 0.312
Pm 0.816 0.247 0.662
Pm 0.431 0.247 0.662
Pm 0.964 0.294 0.236
Pm 0.330 0.294 0.236
Pm 0.079 0.158 0.883
Nd 0.234 0.469 0.582
Nd 0.311 0.622 0.993
Nd 0.000 0.000 0.500
Nd 0.689 0.378 0.007
Nd 0.766 0.531 0.418
Hg 0.686 0.000 0.000
Hg 0.314 0.000 0.000
CELL_PARAMETERS angstrom
9.431 0.000 0.000
-4.715 7.773 1.005
0.000 -1.619 8.454

---

! PmNd3Hg2, relaxed, DFT GGA-PBE; values from VASP
! Total magnetic moment ... 0.00 μB/cell
! Distance to the lowest polymorph of the same formula ... 0 meV/atom
! Energy ... -3.61 eV per atom
! N(E_F) ... 7.33 states/eV per cell
! Space group ... No. 26
! DFT formation energy ... -0.329 eV/atom
&SYSTEM
  ibrav = 0, nat = 12, ntyp = 3
/
ATOMIC_SPECIES
Pm 145.00 Pm.upf
Nd 144.24 Nd.upf
Hg 200.59 Hg.upf
ATOMIC_POSITIONS crystal
Pm 0.500 0.514 0.556
Pm 0.500 0.014 0.444
Nd 0.000 0.486 0.944
Nd 0.000 0.986 0.056
Nd 0.500 0.672 0.174
Nd 0.500 0.172 0.826
Nd 0.000 0.327 0.327
Nd 0.000 0.827 0.673
Hg 0.500 0.733 0.850
Hg 0.500 0.233 0.150
Hg 0.000 0.267 0.649
Hg 0.000 0.767 0.351
CELL_PARAMETERS angstrom
-3.205 -2.705 -3.221
1.719 -6.105 3.416
-7.311 1.368 6.125

---

! PmNd2Hg, relaxed, DFT GGA-PBE; values from VASP
! Total magnetic moment ... 0.00 μB/cell
! Distance to the lowest polymorph of the same formula ... 55 meV/atom
! Energy ... -3.82 eV per atom
! N(E_F) ... 5.81 states/eV per cell
! Space group ... No. 123
! DFT formation energy ... -0.172 eV/atom
&SYSTEM
  ibrav = 0, nat = 4, ntyp = 3
/
ATOMIC_SPECIES
Nd 144.24 Nd.upf
Hg 200.59 Hg.upf
Pm 145.00 Pm.upf
ATOMIC_POSITIONS crystal
Nd 0.000 0.000 0.500
Nd 0.000 0.500 0.000
Hg 0.500 0.000 0.000
Pm 0.500 0.500 0.500
CELL_PARAMETERS angstrom
-2.235 3.625 2.507
-4.023 -2.823 0.496
1.796 -1.817 4.228

---

! Pm2NdHg4, relaxed, DFT GGA-PBE; values from VASP
! Total magnetic moment ... 0.00 μB/cell
! Distance to the lowest polymorph of the same formula ... 349 meV/atom
! Energy ... -2.20 eV per atom
! N(E_F) ... 6.99 states/eV per cell
! Space group ... No. 139
! DFT formation energy ... 0.014 eV/atom
&SYSTEM
  ibrav = 0, nat = 7, ntyp = 3
/
ATOMIC_SPECIES
Pm 145.00 Pm.upf
Nd 144.24 Nd.upf
Hg 200.59 Hg.upf
ATOMIC_POSITIONS crystal
Pm 0.602 0.602 0.204
Pm 0.398 0.398 0.796
Nd 0.000 0.000 0.000
Hg 0.801 0.801 0.603
Hg 0.199 0.199 0.397
Hg 0.000 0.500 0.000
Hg 0.500 0.000 0.000
CELL_PARAMETERS angstrom
5.764 0.000 0.000
0.000 5.764 0.000
-2.882 -2.882 7.863

---

! PmNd4Hg, relaxed, DFT GGA-PBE; values from VASP
! Total magnetic moment ... 0.00 μB/cell
! Distance to the lowest polymorph of the same formula ... 89 meV/atom
! Energy ... -4.08 eV per atom
! N(E_F) ... 16.77 states/eV per cell
! Space group ... No. 15
! DFT formation energy ... -0.059 eV/atom
&SYSTEM
  ibrav = 0, nat = 12, ntyp = 3
/
ATOMIC_SPECIES
Pm 145.00 Pm.upf
Nd 144.24 Nd.upf
Hg 200.59 Hg.upf
ATOMIC_POSITIONS crystal
Pm 0.342 0.592 0.184
Pm 0.658 0.408 0.816
Nd 0.042 0.167 0.770
Nd 0.761 0.713 0.624
Nd 0.228 0.603 0.770
Nd 0.363 0.911 0.624
Nd 0.637 0.089 0.376
Nd 0.772 0.397 0.230
Nd 0.239 0.287 0.376
Nd 0.958 0.833 0.230
Hg 0.252 0.002 0.003
Hg 0.748 0.998 0.997
CELL_PARAMETERS angstrom
-1.499 -3.746 -5.168
8.978 2.288 0.276
-2.371 -5.103 6.276

---

! PmNd8Hg6, relaxed, DFT GGA-PBE; values from VASP
! Total magnetic moment ... 2.80 μB/cell
! Energy ... -3.23 eV per atom
! N(E_F) ... 19.71 states/eV per cell
! Space group ... No. 148
! DFT formation energy ... -0.250 eV/atom
&SYSTEM
  ibrav = 0, nat = 15, ntyp = 3
/
ATOMIC_SPECIES
Pm 145.00 Pm.upf
Nd 144.24 Nd.upf
Hg 200.59 Hg.upf
ATOMIC_POSITIONS crystal
Pm 0.000 0.000 0.000
Nd 0.550 0.219 0.345
Nd 0.781 0.114 0.655
Nd 0.114 0.450 0.655
Nd 0.666 0.666 0.001
Nd 0.334 0.334 0.999
Nd 0.886 0.550 0.345
Nd 0.219 0.886 0.345
Nd 0.450 0.781 0.655
Hg 0.385 0.054 0.839
Hg 0.946 0.277 0.161
Hg 0.277 0.615 0.161
Hg 0.723 0.385 0.839
Hg 0.054 0.723 0.839
Hg 0.615 0.946 0.161
CELL_PARAMETERS angstrom
-2.554 -0.380 8.831
5.526 -3.923 6.222
3.859 4.314 6.094

---

! PmNd5Hg6, relaxed, DFT GGA-PBE; values from VASP
! Total magnetic moment ... 2.76 μB/cell
! Energy ... -3.01 eV per atom
! N(E_F) ... 13.39 states/eV per cell
! Space group ... No. 10
! DFT formation energy ... -0.474 eV/atom
&SYSTEM
  ibrav = 0, nat = 12, ntyp = 3
/
ATOMIC_SPECIES
Nd 144.24 Nd.upf
Hg 200.59 Hg.upf
Pm 145.00 Pm.upf
ATOMIC_POSITIONS crystal
Nd 0.666 0.500 0.334
Nd 0.334 0.000 0.666
Nd 0.000 0.500 0.000
Nd 0.666 0.000 0.334
Nd 0.334 0.500 0.666
Hg 0.835 0.751 0.668
Hg 0.835 0.249 0.668
Hg 0.500 0.248 0.000
Hg 0.500 0.752 0.000
Hg 0.165 0.751 0.332
Hg 0.165 0.249 0.332
Pm 0.000 0.000 0.000
CELL_PARAMETERS angstrom
5.293 0.002 -1.118
-0.003 7.698 -0.001
-1.005 0.000 8.511

---

! Pm4NdHg3, relaxed, DFT GGA-PBE; values from VASP
! Total magnetic moment ... 2.25 μB/cell
! Energy ... -3.35 eV per atom
! N(E_F) ... 21.11 states/eV per cell
! Space group ... No. 51
! DFT formation energy ... -0.269 eV/atom
&SYSTEM
  ibrav = 0, nat = 16, ntyp = 3
/
ATOMIC_SPECIES
Nd 144.24 Nd.upf
Hg 200.59 Hg.upf
Pm 145.00 Pm.upf
ATOMIC_POSITIONS crystal
Nd 0.000 0.500 0.000
Nd 0.000 0.500 0.500
Hg 0.000 0.000 0.000
Hg 0.000 0.000 0.500
Hg 0.564 0.000 0.750
Hg 0.436 0.000 0.250
Hg 0.564 0.500 0.750
Hg 0.436 0.500 0.250
Pm 0.500 0.764 0.000
Pm 0.500 0.764 0.500
Pm 0.500 0.236 0.000
Pm 0.500 0.236 0.500
Pm 0.059 0.765 0.750
Pm 0.941 0.765 0.250
Pm 0.941 0.235 0.250
Pm 0.059 0.235 0.750
CELL_PARAMETERS angstrom
-1.664 -3.665 -3.807
6.702 0.640 -3.547
4.014 -8.168 6.110

---

! Pm5NdHg2, relaxed, DFT GGA-PBE; values from VASP
! Total magnetic moment ... 0.00 μB/cell
! Energy ... -3.81 eV per atom
! N(E_F) ... 8.16 states/eV per cell
! Space group ... No. 71
! DFT formation energy ... -0.167 eV/atom
&SYSTEM
  ibrav = 0, nat = 8, ntyp = 3
/
ATOMIC_SPECIES
Pm 145.00 Pm.upf
Nd 144.24 Nd.upf
Hg 200.59 Hg.upf
ATOMIC_POSITIONS crystal
Pm 0.000 0.500 0.500
Pm 0.639 0.581 0.142
Pm 0.361 0.419 0.858
Pm 0.361 0.858 0.419
Pm 0.639 0.142 0.581
Nd 0.000 0.000 0.000
Hg 0.731 0.769 0.769
Hg 0.269 0.231 0.231
CELL_PARAMETERS angstrom
3.781 0.000 0.000
1.891 8.181 -0.603
1.891 1.886 7.984

---

! Pm4NdHg, relaxed, DFT GGA-PBE; values from VASP
! Total magnetic moment ... 0.00 μB/cell
! Distance to the lowest polymorph of the same formula ... 440 meV/atom
! Energy ... -3.72 eV per atom
! N(E_F) ... 9.68 states/eV per cell
! Space group ... No. 123
! DFT formation energy ... 0.291 eV/atom
&SYSTEM
  ibrav = 0, nat = 6, ntyp = 3
/
ATOMIC_SPECIES
Pm 145.00 Pm.upf
Nd 144.24 Nd.upf
Hg 200.59 Hg.upf
ATOMIC_POSITIONS crystal
Pm 0.501 0.997 0.263
Pm 0.501 0.997 0.733
Pm 0.001 0.497 0.733
Pm 0.001 0.497 0.264
Nd 0.501 0.497 0.998
Hg 0.001 0.997 0.498
CELL_PARAMETERS angstrom
5.296 0.000 -0.001
0.000 5.300 -0.002
0.004 0.006 7.783

---

! Pm6NdHg2, relaxed, DFT GGA-PBE; values from VASP
! Total magnetic moment ... 0.00 μB/cell
! Distance to the lowest polymorph of the same formula ... 0 meV/atom
! Energy ... -3.97 eV per atom
! N(E_F) ... 9.35 states/eV per cell
! Space group ... No. 12
! DFT formation energy ... -0.208 eV/atom
&SYSTEM
  ibrav = 0, nat = 9, ntyp = 3
/
ATOMIC_SPECIES
Pm 145.00 Pm.upf
Nd 144.24 Nd.upf
Hg 200.59 Hg.upf
ATOMIC_POSITIONS crystal
Pm 0.687 0.502 0.125
Pm 0.313 0.498 0.875
Pm 0.311 0.791 0.587
Pm 0.980 0.701 0.338
Pm 0.020 0.299 0.662
Pm 0.689 0.209 0.413
Nd 0.000 0.000 0.000
Hg 0.355 0.083 0.206
Hg 0.645 0.917 0.794
CELL_PARAMETERS angstrom
-2.845 -1.476 -2.076
1.449 -6.518 -0.866
-6.040 -5.599 8.746

---

! Pm2NdHg7, relaxed, DFT GGA-PBE; values from VASP
! Total magnetic moment ... 0.00 μB/cell
! Energy ... -1.96 eV per atom
! N(E_F) ... 4.18 states/eV per cell
! Space group ... No. 156
! DFT formation energy ... -0.326 eV/atom
&SYSTEM
  ibrav = 0, nat = 10, ntyp = 3
/
ATOMIC_SPECIES
Pm 145.00 Pm.upf
Nd 144.24 Nd.upf
Hg 200.59 Hg.upf
ATOMIC_POSITIONS crystal
Pm 0.667 0.333 0.330
Pm 0.333 0.667 0.648
Nd 0.000 0.000 0.968
Hg 0.333 0.667 0.404
Hg 0.333 0.667 0.148
Hg 0.000 0.000 0.238
Hg 0.000 0.000 0.517
Hg 0.667 0.333 0.779
Hg 0.667 0.333 0.061
Hg 0.333 0.667 0.891
CELL_PARAMETERS angstrom
5.068 0.000 0.000
-2.534 4.389 0.000
0.000 0.000 12.287

---

! Pm2NdHg, relaxed, DFT GGA-PBE; values from VASP
! Total magnetic moment ... 0.00 μB/cell
! Distance to the lowest polymorph of the same formula ... 282 meV/atom
! Energy ... -3.59 eV per atom
! N(E_F) ... 6.78 states/eV per cell
! Space group ... No. 166
! DFT formation energy ... 0.050 eV/atom
&SYSTEM
  ibrav = 0, nat = 4, ntyp = 3
/
ATOMIC_SPECIES
Nd 144.24 Nd.upf
Hg 200.59 Hg.upf
Pm 145.00 Pm.upf
ATOMIC_POSITIONS crystal
Nd 0.000 0.000 0.000
Hg 0.500 0.500 0.500
Pm 0.097 0.097 0.710
Pm 0.903 0.903 0.290
CELL_PARAMETERS angstrom
-3.150 -1.284 1.020
-0.191 -2.294 2.703
-2.353 7.927 8.895

---

! PmNd2Hg8, relaxed, DFT GGA-PBE; values from VASP
! Total magnetic moment ... 0.00 μB/cell
! Distance to the lowest polymorph of the same formula ... 11 meV/atom
! Energy ... -1.86 eV per atom
! N(E_F) ... 6.14 states/eV per cell
! Space group ... No. 71
! DFT formation energy ... -0.347 eV/atom
&SYSTEM
  ibrav = 0, nat = 11, ntyp = 3
/
ATOMIC_SPECIES
Pm 145.00 Pm.upf
Nd 144.24 Nd.upf
Hg 200.59 Hg.upf
ATOMIC_POSITIONS crystal
Pm 0.500 0.000 0.000
Nd 0.193 0.693 0.385
Nd 0.807 0.307 0.615
Hg 0.646 0.857 0.292
Hg 0.354 0.565 0.708
Hg 0.157 0.157 0.314
Hg 0.000 0.288 0.000
Hg 0.843 0.843 0.686
Hg 0.646 0.435 0.292
Hg 0.354 0.143 0.708
Hg 0.000 0.712 0.000
CELL_PARAMETERS angstrom
-0.336 3.165 -4.151
4.217 -4.732 -3.949
-8.056 -2.800 1.813

---

! Pm3NdHg5, relaxed, DFT GGA-PBE; values from VASP
! Total magnetic moment ... 0.00 μB/cell
! Energy ... -2.69 eV per atom
! N(E_F) ... 19.88 states/eV per cell
! Space group ... No. 193
! DFT formation energy ... -0.410 eV/atom
&SYSTEM
  ibrav = 0, nat = 18, ntyp = 3
/
ATOMIC_SPECIES
Pm 145.00 Pm.upf
Nd 144.24 Nd.upf
Hg 200.59 Hg.upf
ATOMIC_POSITIONS crystal
Pm 0.750 0.371 0.371
Pm 0.750 0.000 0.629
Pm 0.750 0.629 0.000
Pm 0.250 0.629 0.629
Pm 0.250 0.000 0.371
Pm 0.250 0.371 0.000
Nd 0.000 0.000 0.000
Nd 0.500 0.000 0.000
Hg 0.000 0.667 0.333
Hg 0.500 0.333 0.667
Hg 0.000 0.333 0.667
Hg 0.500 0.667 0.333
Hg 0.750 0.699 0.699
Hg 0.750 0.000 0.301
Hg 0.750 0.301 0.000
Hg 0.250 0.301 0.301
Hg 0.250 0.000 0.699
Hg 0.250 0.699 0.000
CELL_PARAMETERS angstrom
-5.100 -3.500 2.415
1.057 -6.254 -6.831
4.559 -1.083 8.058

---

! PmNd2Hg, relaxed, DFT GGA-PBE; values from VASP
! Total magnetic moment ... 0.00 μB/cell
! Distance to the lowest polymorph of the same formula ... 164 meV/atom
! Energy ... -3.71 eV per atom
! N(E_F) ... 5.72 states/eV per cell
! Space group ... No. 225
! DFT formation energy ... -0.064 eV/atom
&SYSTEM
  ibrav = 0, nat = 4, ntyp = 3
/
ATOMIC_SPECIES
Nd 144.24 Nd.upf
Hg 200.59 Hg.upf
Pm 145.00 Pm.upf
ATOMIC_POSITIONS crystal
Nd 0.250 0.250 0.250
Nd 0.750 0.750 0.750
Hg 0.000 0.000 0.000
Pm 0.500 0.500 0.500
CELL_PARAMETERS angstrom
-3.836 -4.021 -0.125
1.506 -5.302 0.725
-1.383 -2.668 4.677

---

! PmNd4Hg, relaxed, DFT GGA-PBE; values from VASP
! Total magnetic moment ... 0.00 μB/cell
! Distance to the lowest polymorph of the same formula ... 0 meV/atom
! Energy ... -4.17 eV per atom
! N(E_F) ... 8.11 states/eV per cell
! Space group ... No. 123
! DFT formation energy ... -0.149 eV/atom
&SYSTEM
  ibrav = 0, nat = 6, ntyp = 3
/
ATOMIC_SPECIES
Pm 145.00 Pm.upf
Nd 144.24 Nd.upf
Hg 200.59 Hg.upf
ATOMIC_POSITIONS crystal
Pm 0.000 0.000 0.000
Nd 0.500 0.500 0.179
Nd 0.000 0.000 0.642
Nd 0.000 0.000 0.358
Nd 0.500 0.500 0.821
Hg 0.500 0.500 0.500
CELL_PARAMETERS angstrom
-0.951 2.531 2.540
-1.519 -2.665 2.087
12.538 -1.949 6.638

---

! Pm3Nd2Hg7, relaxed, DFT GGA-PBE; values from VASP
! Total magnetic moment ... 0.00 μB/cell
! Energy ... -2.48 eV per atom
! N(E_F) ... 10.13 states/eV per cell
! Space group ... No. 65
! DFT formation energy ... -0.323 eV/atom
&SYSTEM
  ibrav = 0, nat = 12, ntyp = 3
/
ATOMIC_SPECIES
Pm 145.00 Pm.upf
Nd 144.24 Nd.upf
Hg 200.59 Hg.upf
ATOMIC_POSITIONS crystal
Pm 0.500 0.500 0.000
Pm 0.500 0.668 0.335
Pm 0.500 0.332 0.665
Nd 0.000 0.857 0.714
Nd 0.000 0.143 0.286
Hg 0.000 0.427 0.854
Hg 0.000 0.724 0.447
Hg 0.000 0.000 0.000
Hg 0.000 0.573 0.146
Hg 0.500 0.082 0.164
Hg 0.500 0.918 0.836
Hg 0.000 0.276 0.553
CELL_PARAMETERS angstrom
-1.022 3.711 -3.978
-3.650 -3.190 -2.037
-6.423 6.662 7.864

---

! PmNd5Hg, relaxed, DFT GGA-PBE; values from VASP
! Total magnetic moment ... 0.00 μB/cell
! Energy ... -4.13 eV per atom
! N(E_F) ... 20.15 states/eV per cell
! Space group ... No. 15
! DFT formation energy ... -0.004 eV/atom
&SYSTEM
  ibrav = 0, nat = 14, ntyp = 3
/
ATOMIC_SPECIES
Pm 145.00 Pm.upf
Nd 144.24 Nd.upf
Hg 200.59 Hg.upf
ATOMIC_POSITIONS crystal
Pm 0.543 0.457 0.250
Pm 0.457 0.543 0.750
Nd 0.187 0.524 0.079
Nd 0.032 0.529 0.584
Nd 0.524 0.187 0.579
Nd 0.937 0.063 0.250
Nd 0.471 0.968 0.916
Nd 0.529 0.032 0.084
Nd 0.063 0.937 0.750
Nd 0.476 0.813 0.421
Nd 0.968 0.471 0.416
Nd 0.813 0.476 0.921
Hg 0.000 0.000 0.000
Hg 0.000 0.000 0.500
CELL_PARAMETERS angstrom
8.372 0.707 3.276
3.327 7.715 3.276
7.866 5.663 12.073

---

! Pm5Nd2Hg4, relaxed, DFT GGA-PBE; values from VASP
! Total magnetic moment ... 0.00 μB/cell
! Energy ... -3.22 eV per atom
! N(E_F) ... 14.47 states/eV per cell
! Space group ... No. 12
! DFT formation energy ... -0.080 eV/atom
&SYSTEM
  ibrav = 0, nat = 11, ntyp = 3
/
ATOMIC_SPECIES
Pm 145.00 Pm.upf
Nd 144.24 Nd.upf
Hg 200.59 Hg.upf
ATOMIC_POSITIONS crystal
Pm 0.167 0.904 0.334
Pm 0.833 0.096 0.666
Pm 0.122 0.294 0.243
Pm 0.500 0.000 0.000
Pm 0.878 0.706 0.757
Nd 0.732 0.654 0.464
Nd 0.268 0.346 0.536
Hg 0.588 0.561 0.176
Hg 0.020 0.723 0.039
Hg 0.412 0.439 0.824
Hg 0.980 0.277 0.961
CELL_PARAMETERS angstrom
-2.519 0.713 -2.624
3.768 -5.437 -5.094
-7.407 -5.238 8.306

---

! Pm6Nd2Hg, relaxed, DFT GGA-PBE; values from VASP
! Total magnetic moment ... 0.00 μB/cell
! Distance to the lowest polymorph of the same formula ... 136 meV/atom
! Energy ... -4.22 eV per atom
! N(E_F) ... 14.32 states/eV per cell
! Space group ... No. 65
! DFT formation energy ... 0.039 eV/atom
&SYSTEM
  ibrav = 0, nat = 9, ntyp = 3
/
ATOMIC_SPECIES
Pm 145.00 Pm.upf
Nd 144.24 Nd.upf
Hg 200.59 Hg.upf
ATOMIC_POSITIONS crystal
Pm 0.000 0.336 0.326
Pm 0.000 0.010 0.674
Pm 0.000 0.664 0.674
Pm 0.500 0.288 0.000
Pm 0.000 0.990 0.326
Pm 0.500 0.712 0.000
Nd 0.499 0.675 0.350
Nd 0.501 0.325 0.650
Hg 0.000 0.000 0.000
CELL_PARAMETERS angstrom
-2.447 1.711 2.000
-2.521 -8.390 4.093
7.326 5.461 4.284